! Ba6Bi2I3Br | the Alexandria database | PBE | optimized geometry; values from VASP
! Size of the total moment   0.000 μB per atom
! Uncorrected formation energy   -1.353 eV/atom
&SYSTEM
  ibrav = 0, nat = 12, ntyp = 4
/
ATOMIC_SPECIES
Ba 137.33 Ba.upf
Bi 208.98 Bi.upf
I 126.90 I.upf
Br 79.90 Br.upf
CELL_PARAMETERS angstrom
-0.2685 5.0770 0.2201
-5.0787 -0.6416 8.6016
10.6707 -2.1170 3.0210
ATOMIC_POSITIONS crystal
Ba 0.3380 0.9076 0.6760
Ba 0.6721 0.5681 0.3442
Ba 0.6620 0.0924 0.3240
Ba 0.0036 0.2424 0.0072
Ba 0.9964 0.7576 0.9928
Ba 0.3279 0.4319 0.6558
Bi 0.8371 0.6756 0.6741
Bi 0.1629 0.3244 0.3259
I 0.5000 0.5000 0.0000
I 0.8328 0.1676 0.6655
I 0.1672 0.8324 0.3345
Br 0.5000 0.0000 0.0000